# Mn2ZnCuF | Alexandria | PBE+U | relaxed
data_Mn2ZnCuF
_symmetry_space_group_name_H-M 'P 4/m m m'
_symmetry_Int_Tables_number 123
_symmetry_space_group_name_Hall '-P 4 2'
_cell_length_a 4.875
_cell_length_b 4.875
_cell_length_c 4.533
_cell_angle_alpha 90.00
_cell_angle_beta 90.00
_cell_angle_gamma 90.00
loop_
_atom_site_label
_atom_site_type_symbol
_atom_site_fract_x
_atom_site_fract_y
_atom_site_fract_z
Mn1 Mn 0.000 0.500 0.000
Zn1 Zn 0.000 0.000 0.500
Cu1 Cu 0.000 0.000 0.000
F1 F 0.500 0.500 0.500
# calculated total energy: -4.308 eV/atom
# crystal system: tetragonal